An optimized crystal structure of CaPr2SnN4. Source: Alexandria, functional PBE-GGA.

The raw formation energy is -65.89 kJ/mol of atoms. As for the space group: Cmcm, No. 63.

a = 6.4496 Å, b = 6.4496 Å, c = 12.6529 Å
α = 90.00°, β = 90.00°, γ = 147.85°
Element x y z (fractional)
1 Ca 0.1184 0.8816 0.7500
2 Ca 0.8816 0.1184 0.2500
3 Pr 0.3696 0.6304 0.5296
4 Pr 0.3696 0.6304 0.9704
5 Pr 0.6304 0.3696 0.0296
6 Pr 0.6304 0.3696 0.4704
7 Sn 0.1502 0.8498 0.2500
8 Sn 0.8498 0.1502 0.7500
9 N 0.0000 0.0000 0.0000
10 N 0.0000 0.0000 0.5000
11 N 0.2586 0.7414 0.1248
12 N 0.2586 0.7414 0.3752
13 N 0.4492 0.5508 0.7500
14 N 0.5508 0.4492 0.2500
15 N 0.7414 0.2586 0.6248
16 N 0.7414 0.2586 0.8752



An optimized crystal structure of CaPr2TaN4. Source: Alexandria, functional PBE-GGA.

The raw formation energy is -112.19 kJ/mol of atoms. As for the space group: Imma, No. 74.

a = 6.9252 Å, b = 6.9252 Å, c = 6.9252 Å
α = 120.84°, β = 119.10°, γ = 90.06°
Element x y z (fractional)
1 Ca 0.0000 0.0000 0.0000
2 Ca 0.5000 0.0000 0.5000
3 Pr 0.0000 0.5000 0.5000
4 Pr 0.5000 0.0000 0.0000
5 Pr 0.5000 0.5000 0.0000
6 Pr 0.5000 0.5000 0.5000
7 Ta 0.0000 0.0000 0.5000
8 Ta 0.0000 0.5000 0.0000
9 N 0.2123 0.2475 0.9648
10 N 0.2173 0.7525 0.4648
11 N 0.2197 0.2177 0.4980
12 N 0.2197 0.7217 0.0020
13 N 0.7803 0.2783 0.9980
14 N 0.7803 0.7823 0.5020
15 N 0.7827 0.2475 0.5352
16 N 0.7877 0.7525 0.0352



An optimized crystal structure of CaPr2TcN4. Source: Alexandria, functional PBE-GGA.

The raw formation energy is -71.88 kJ/mol of atoms. As for the space group: Cmcm, No. 63.

a = 6.4406 Å, b = 6.4406 Å, c = 12.1656 Å
α = 90.00°, β = 90.00°, γ = 147.85°
Element x y z (fractional)
1 Ca 0.1294 0.8706 0.7500
2 Ca 0.8706 0.1294 0.2500
3 Pr 0.3688 0.6312 0.5348
4 Pr 0.3688 0.6312 0.9652
5 Pr 0.6312 0.3688 0.0348
6 Pr 0.6312 0.3688 0.4652
7 Tc 0.1526 0.8474 0.2500
8 Tc 0.8474 0.1526 0.7500
9 N 0.0000 0.0000 0.0000
10 N 0.0000 0.0000 0.5000
11 N 0.2606 0.7394 0.1330
12 N 0.2606 0.7394 0.3670
13 N 0.4166 0.5834 0.7500
14 N 0.5834 0.4166 0.2500
15 N 0.7394 0.2606 0.6330
16 N 0.7394 0.2606 0.8670



An optimized crystal structure of CaPr2Tc2N6. Source: Alexandria, functional PBE-GGA.

The raw formation energy is -52.39 kJ/mol of atoms. As for the space group: R-3m, No. 166.

a = 6.9665 Å, b = 6.9665 Å, c = 6.9665 Å
α = 48.74°, β = 48.74°, γ = 48.74°
Element x y z (fractional)
1 Ca 0.0000 0.0000 0.0000
2 Pr 0.2084 0.2084 0.2084
3 Pr 0.7916 0.7916 0.7916
4 Tc 0.4028 0.4028 0.4028
5 Tc 0.5972 0.5972 0.5972
6 N 0.2267 0.7375 0.7375
7 N 0.2625 0.2625 0.7733
8 N 0.2625 0.7733 0.2625
9 N 0.7375 0.2267 0.7375
10 N 0.7375 0.7375 0.2267
11 N 0.7733 0.2625 0.2625